[1]
Computed, not measured: crystalline LiP3 at its relaxed geometry at the GGA-PBE level of DFT.

a = 3.8082 Å, b = 2.6011 Å, c = 5.8211 Å
α = 90.00°, β = 90.00°, γ = 90.00°
Sites, in units of the cell vectors:
P 0.5000 0.5000 0.2031
P 0.5000 0.5000 0.7969
P 0.0000 0.5000 0.5000
Li 0.0000 0.0000 0.0000

Results
Symmetry: Pmmm, No. 47

[2]
Computed, not measured: crystalline LiZn3Ag5 at its relaxed geometry at the GGA-PBE level of DFT.

a = 5.7458 Å, b = 5.7458 Å, c = 10.4839 Å
α = 85.90°, β = 85.90°, γ = 80.65°
Sites, in units of the cell vectors:
Zn 0.0000 0.0000 0.5000
Zn 0.2491 0.2491 0.1231
Zn 0.6943 0.6943 0.4761
Zn 0.0000 0.0000 0.0000
Zn 0.7509 0.7509 0.8769
Zn 0.3057 0.3057 0.5239
Li 0.9585 0.9585 0.2602
Li 0.0415 0.0415 0.7398
Ag 0.3229 0.6771 0.0000
Ag 0.0081 0.5873 0.6681
Ag 0.6771 0.3229 0.0000
Ag 0.4773 0.4773 0.2976
Ag 0.7324 0.7324 0.1307
Ag 0.5227 0.5227 0.7024
Ag 0.4127 0.9919 0.3319
Ag 0.2676 0.2676 0.8693
Ag 0.9919 0.4127 0.3319
Ag 0.5873 0.0081 0.6681

Results
Symmetry: C2/m, No. 12

[3]
Computed, not measured: crystalline TbPrC2 at its relaxed geometry at the GGA-PBE level of DFT.

a = 3.7236 Å, b = 3.7236 Å, c = 6.4317 Å
α = 73.17°, β = 73.17°, γ = 60.00°
Sites, in units of the cell vectors:
C 0.7454 0.7454 0.7639
C 0.2546 0.2546 0.2361
Tb 0.0000 0.0000 0.0000
Pr 0.5000 0.5000 0.5000

Results
Symmetry: R-3m, No. 166

no.,Fermi-level density of states (states/eV/atom),total DFT energy (no corrections) (eV per cell),formation energy (eV/atom)
1,0.369,-17.971,0.043
2,0.353,-37.778,0.123
3,1.556,-26.897,0.240